An optimized crystal structure of PuNF, computed with GGA-PBE.

The formation energy from raw total energies is -1.91 eV/atom. As for the crystal system: trigonal.

Lattice parameters (Å, degrees): 3.5903 3.5903 5.0139 90.00 90.00 120.00
Space group P3m1 (No. 156)
Unique sites:
Pu 0.0000 0.0000 0.0000 (multiplicity 1)
N 0.6667 0.3333 0.1464 (multiplicity 1)
F 0.3333 0.6667 0.7516 (multiplicity 1)